Below is a relaxed structure of YInP3, with properties calculated at the PBE-GGA level.

The structure in CIF format:
```
data_YInP3
_cell_length_a 5.284
_cell_length_b 5.284
_cell_length_c 5.284
_cell_angle_alpha 90.00
_cell_angle_beta 90.00
_cell_angle_gamma 90.00
_symmetry_space_group_name_H-M 'P m -3 m'
_symmetry_Int_Tables_number 221
_symmetry_space_group_name_Hall '-P 4 2 3'
loop_
_atom_site_label
_atom_site_type_symbol
_atom_site_fract_x
_atom_site_fract_y
_atom_site_fract_z
Y1 Y 0.000 0.000 0.000
In1 In 0.500 0.500 0.500
P1 P 0.000 0.000 0.500
```

N(E_F) in states/eV/atom: 1.05
Formation energy from the elements in kJ/mol of formula units: 236